# 1
Here is a relaxed CeSe crystal from Alexandria via LeMat-Bulk. Energies are from PBE.

## Properties
magnetic moment: 0.832 μB per atom
density: 7514 kg/m³
uncorrected formation energy: -1.56 eV/atom
DOS(E_F): 3.267 states/eV per atom

Unit cell a=3.6447 b=3.6447 c=3.6447 alpha=90.00 beta=90.00 gamma=90.00
Closest atoms and distances in Å follow each position.
Atoms (fractional coordinates):
Se (0.5000, 0.5000, 0.5000)  8 Ce 3.16
Ce (0.0000, 0.0000, 0.0000)  8 Se 3.16



# 2
Here is a relaxed PaCuSiO6 crystal from Alexandria via LeMat-Bulk. Energies are from PBE.

## Properties
magnetic moment: 0.203 μB per atom
density: 6789 kg/m³
uncorrected formation energy: -2.20 eV/atom
DOS(E_F): 0.509 states/eV per atom

Unit cell a=4.7384 b=4.7384 c=9.1223 alpha=90.00 beta=90.00 gamma=90.00
Closest atoms and distances in Å follow each position.
Atoms (fractional coordinates):
O (0.2765, 0.2765, 0.3285)  1 Si 1.85
Pa (0.5000, 0.5000, 0.4960)  6 O 2.14-2.20
Cu (0.5000, 0.5000, 0.1647)  6 O 2.02-2.12
Si (0.0000, 0.0000, 0.3334)  6 O 1.79-1.85
O (0.1725, 0.8275, 0.4832)  1 Si 1.79
O (0.1859, 0.8141, 0.1912)  1 Si 1.80
O (0.3141, 0.3141, 0.6912)  1 Si 1.80
Pa (0.0000, 0.0000, 0.9960)  6 O 2.14-2.20
O (0.7235, 0.7235, 0.3285)  1 Si 1.85
O (0.8141, 0.1859, 0.1912)  1 Si 1.80
Cu (0.0000, 0.0000, 0.6647)  6 O 2.02-2.12
O (0.3275, 0.3275, 0.9832)  1 Si 1.79
O (0.8275, 0.1725, 0.4832)  1 Si 1.79
O (0.6859, 0.6859, 0.6912)  1 Si 1.80
O (0.7765, 0.2235, 0.8285)  1 Si 1.85
O (0.2235, 0.7765, 0.8285)  1 Si 1.85
Si (0.5000, 0.5000, 0.8334)  6 O 1.79-1.85
O (0.6725, 0.6725, 0.9832)  1 Si 1.79



# 3
Here is a relaxed NaZrAlBr2 crystal from Alexandria via LeMat-Bulk. Energies are from PBE.

## Properties
magnetic moment: 0.583 μB per atom
density: 3039 kg/m³
uncorrected formation energy: 0.58 eV/atom
DOS(E_F): 1.131 states/eV per atom

Unit cell a=5.4274 b=5.4274 c=5.5843 alpha=90.00 beta=90.00 gamma=90.00
Closest atoms and distances in Å follow each position.
Atoms (fractional coordinates):
Br (0.0000, 0.5000, 0.0000)  2 Al 2.71
Zr (0.5000, 0.5000, 0.5000)  4 Na 3.84, 8 Br 3.89
Br (0.5000, 0.0000, 0.0000)  2 Al 2.71
Na (0.0000, 0.0000, 0.5000)  2 Al 2.79
Al (0.0000, 0.0000, 0.0000)  4 Br 2.71, 2 Na 2.79



# 4
Here is a relaxed Mg4SnAu crystal from Alexandria via LeMat-Bulk. Energies are from PBE.

## Properties
magnetic moment: 0.000 μB per atom
density: 5283 kg/m³
formation enthalpy at 0 K: -0.35 eV per atom
DOS(E_F): 0.293 states/eV per atom
ΔE to the lowest computed polymorph: 0 meV per atom

Unit cell a=3.5745 b=7.9028 c=18.3766 alpha=90.00 beta=90.00 gamma=90.00
Closest atoms and distances in Å follow each position.
Atoms (fractional coordinates):
Mg (0.2500, 0.6244, 0.9523)  3 Au 2.82-2.97
Sn (0.2500, 0.2536, 0.1880)  9 Mg 2.93-3.28
Sn (0.7500, 0.2464, 0.6880)  9 Mg 2.93-3.28
Au (0.2500, 0.2491, 0.9423)  9 Mg 2.74-2.98
Mg (0.7500, 0.8824, 0.6552)  2 Au 2.74, 1 Sn 2.94
Mg (0.2500, 0.1244, 0.5477)  3 Au 2.82-2.97
Mg (0.2500, 0.6176, 0.1552)  2 Au 2.74, 1 Sn 2.94
Mg (0.2500, 0.0198, 0.0642)  3 Au 2.78-2.88, 1 Sn 2.93, 2 Mg 2.98
Mg (0.2500, 0.1176, 0.3448)  2 Au 2.74, 1 Sn 2.94
Mg (0.7500, 0.9802, 0.9358)  3 Au 2.78-2.88, 1 Sn 2.93, 2 Mg 2.98
Sn (0.7500, 0.7464, 0.8120)  9 Mg 2.93-3.28
Mg (0.7500, 0.4802, 0.5642)  3 Au 2.78-2.88, 1 Sn 2.93, 2 Mg 2.98
Au (0.7500, 0.2509, 0.4423)  9 Mg 2.74-2.98
Mg (0.2500, 0.5665, 0.6998)  1 Au 2.98, 4 Sn 3.08-3.10, 4 Mg 3.14-3.18
Mg (0.2500, 0.0665, 0.8002)  1 Au 2.98, 4 Sn 3.08-3.10, 4 Mg 3.14-3.18
Au (0.2500, 0.7491, 0.5577)  9 Mg 2.74-2.98
Mg (0.7500, 0.3824, 0.8448)  2 Au 2.74, 1 Sn 2.94
Au (0.7500, 0.7509, 0.0577)  9 Mg 2.74-2.98
Mg (0.7500, 0.3756, 0.0477)  3 Au 2.82-2.97
Mg (0.7500, 0.8756, 0.4523)  3 Au 2.82-2.97
Mg (0.7500, 0.4335, 0.3002)  1 Au 2.98, 4 Sn 3.08-3.10, 4 Mg 3.14-3.18
Mg (0.7500, 0.9335, 0.1998)  1 Au 2.98, 4 Sn 3.08-3.10, 4 Mg 3.14-3.18
Mg (0.2500, 0.5198, 0.4358)  3 Au 2.78-2.88, 1 Sn 2.93, 2 Mg 2.98
Sn (0.2500, 0.7536, 0.3120)  9 Mg 2.93-3.28



# 5
Here is a relaxed AlNiPd2C crystal from Alexandria via LeMat-Bulk. Energies are from PBE.

## Properties
magnetic moment: 0.193 μB per atom
density: 6470 kg/m³
formation enthalpy at 0 K: 1.12 eV per atom
DOS(E_F): 0.723 states/eV per atom

Unit cell a=4.6697 b=4.6697 c=3.6550 alpha=90.00 beta=90.00 gamma=90.00
Closest atoms and distances in Å follow each position.
Atoms (fractional coordinates):
Pd (0.5000, 0.0000, 0.0000)  2 Al 2.33
Al (0.0000, 0.0000, 0.0000)  2 C 1.83
Pd (0.0000, 0.5000, 0.0000)  2 Al 2.33
C (0.0000, 0.0000, 0.5000)  2 Al 1.83
Ni (0.5000, 0.5000, 0.5000)  8 Pd 2.97, 4 C 3.30



# 6
Here is a relaxed Pm3Dy7Tm2 crystal from Alexandria via LeMat-Bulk. Energies are from PBE.

## Properties
magnetic moment: 0.000 μB per atom
density: 8195 kg/m³
formation enthalpy at 0 K: 0.09 eV per atom
DOS(E_F): 1.257 states/eV per atom
ΔE to the lowest computed polymorph: 0 meV per atom

Unit cell a=3.5549 b=5.8191 c=18.7405 alpha=93.15 beta=90.00 gamma=90.00
Closest atoms and distances in Å follow each position.
Atoms (fractional coordinates):
Tm (0.5000, 0.7131, 0.2932)  3 Dy 3.18-3.30, 2 Tm 3.55
Pm (0.0000, 0.2241, 0.3663)  2 Pm 3.55, 8 Dy 3.66-3.95, 4 Tm 3.67-3.68
Dy (0.5000, 0.2568, 0.5370)  1 Tm 3.18, 4 Dy 3.22-3.55
Dy (0.5000, 0.8063, 0.8223)  6 Dy 3.45-3.55, 2 Tm 3.62-3.63, 1 Pm 3.86
Dy (0.0000, 0.3090, 0.8557)  2 Tm 3.30, 7 Dy 3.33-3.55, 2 Pm 3.37
Tm (0.5000, 0.2869, 0.7068)  3 Dy 3.18-3.30, 2 Tm 3.55
Pm (0.5000, 0.5000, 0.0000)  8 Dy 3.37-3.41, 2 Pm 3.55
Pm (0.0000, 0.7759, 0.6337)  2 Pm 3.55, 8 Dy 3.66-3.95, 4 Tm 3.67-3.68
Dy (0.5000, 0.1937, 0.1777)  6 Dy 3.45-3.55, 2 Tm 3.62-3.63, 1 Pm 3.86
Dy (0.0000, 0.6910, 0.1443)  2 Tm 3.30, 7 Dy 3.33-3.55, 2 Pm 3.37
Dy (0.0000, 0.0000, 0.0000)  4 Dy 3.33-3.55, 4 Pm 3.41
Dy (0.5000, 0.7432, 0.4630)  1 Tm 3.18, 4 Dy 3.22-3.55